# Dy4Er3Bi4 | Alexandria | PBE-GGA | optimized geometry
# - Final energy: -4.83 eV/atom
# - SG: No. 71
data_Dy4Er3Bi4
_symmetry_space_group_name_H-M 'P 1'
_symmetry_Int_Tables_number 1
_cell_length_a 10.237
_cell_length_b 10.237
_cell_length_c 10.237
_cell_angle_alpha 157.27
_cell_angle_beta 126.00
_cell_angle_gamma 59.33
loop_
_symmetry_equiv_pos_as_xyz
'x,y,z'
loop_
_atom_site_label
_atom_site_fract_x
_atom_site_fract_y
_atom_site_fract_z
Dy1 0.019 0.835 0.184
Dy2 0.349 0.165 0.184
Dy3 0.651 0.835 0.816
Dy4 0.981 0.165 0.816
Er1 0.000 0.500 0.500
Er2 0.399 0.399 0.000
Er3 0.601 0.601 0.000
Bi1 0.264 0.764 0.500
Bi2 0.296 0.000 0.296
Bi3 0.704 0.000 0.704
Bi4 0.736 0.236 0.500



# Dy4ErBi5 | Alexandria | PBE-GGA | optimized geometry
# - Final energy: -5.09 eV/atom
# - SG: No. 71
data_Dy4ErBi5
_symmetry_space_group_name_H-M 'P 1'
_symmetry_Int_Tables_number 1
_cell_length_a 11.816
_cell_length_b 11.816
_cell_length_c 11.816
_cell_angle_alpha 158.21
_cell_angle_beta 149.01
_cell_angle_gamma 38.21
loop_
_symmetry_equiv_pos_as_xyz
'x,y,z'
loop_
_atom_site_label
_atom_site_fract_x
_atom_site_fract_y
_atom_site_fract_z
Dy1 0.100 0.100 0.000
Dy2 0.300 0.300 0.000
Dy3 0.700 0.700 0.000
Dy4 0.900 0.900 0.000
Er1 0.500 0.500 0.000
Bi1 0.000 0.500 0.500
Bi2 0.200 0.700 0.500
Bi3 0.401 0.901 0.500
Bi4 0.599 0.099 0.500
Bi5 0.800 0.300 0.500



# DyEr4Bi2 | Alexandria | PBE-GGA | optimized geometry
# - Final energy: -4.01 eV/atom
# - SG: No. 139
data_DyEr4Bi2
_symmetry_space_group_name_H-M 'P 1'
_symmetry_Int_Tables_number 1
_cell_length_a 9.102
_cell_length_b 9.102
_cell_length_c 9.102
_cell_angle_alpha 146.16
_cell_angle_beta 146.16
_cell_angle_gamma 48.61
loop_
_symmetry_equiv_pos_as_xyz
'x,y,z'
loop_
_atom_site_label
_atom_site_fract_x
_atom_site_fract_y
_atom_site_fract_z
Dy1 0.000 0.000 0.000
Er1 0.000 0.500 0.500
Er2 0.181 0.181 0.000
Er3 0.500 0.000 0.500
Er4 0.819 0.819 0.000
Bi1 0.365 0.365 0.000
Bi2 0.635 0.635 0.000



# Dy3ErBi4 | Alexandria | PBE-GGA | optimized geometry
# - Final energy: -5.09 eV/atom
# - SG: No. 221
data_Dy3ErBi4
_symmetry_space_group_name_H-M 'P 1'
_symmetry_Int_Tables_number 1
_cell_length_a 6.311
_cell_length_b 6.311
_cell_length_c 6.311
_cell_angle_alpha 90.00
_cell_angle_beta 90.00
_cell_angle_gamma 90.00
loop_
_symmetry_equiv_pos_as_xyz
'x,y,z'
loop_
_atom_site_label
_atom_site_fract_x
_atom_site_fract_y
_atom_site_fract_z
Dy1 0.000 0.000 0.500
Dy2 0.000 0.500 0.000
Dy3 0.500 0.000 0.000
Er1 0.500 0.500 0.500
Bi1 0.000 0.000 0.000
Bi2 0.000 0.500 0.500
Bi3 0.500 0.000 0.500
Bi4 0.500 0.500 0.000



# Dy2Er5Bi5 | Alexandria | PBE-GGA | optimized geometry
# - Final energy: -4.83 eV/atom
# - SG: No. 12
data_Dy2Er5Bi5
_symmetry_space_group_name_H-M 'P 1'
_symmetry_Int_Tables_number 1
_cell_length_a 7.602
_cell_length_b 7.602
_cell_length_c 12.630
_cell_angle_alpha 111.17
_cell_angle_beta 111.17
_cell_angle_gamma 33.73
loop_
_symmetry_equiv_pos_as_xyz
'x,y,z'
loop_
_atom_site_label
_atom_site_fract_x
_atom_site_fract_y
_atom_site_fract_z
Dy1 0.049 0.049 0.285
Dy2 0.951 0.951 0.715
Er1 0.297 0.297 0.171
Er2 0.337 0.337 0.471
Er3 0.500 0.500 0.000
Er4 0.663 0.663 0.529
Er5 0.703 0.703 0.829
Bi1 0.000 0.000 0.500
Bi2 0.122 0.122 0.943
Bi3 0.301 0.301 0.718
Bi4 0.699 0.699 0.282
Bi5 0.878 0.878 0.057



# DyHo2ErBi5 | Alexandria | PBE-GGA | optimized geometry
# - Final energy: -4.15 eV/atom
# - SG: No. 123
data_DyHo2ErBi5
_symmetry_space_group_name_H-M 'P 1'
_symmetry_Int_Tables_number 1
_cell_length_a 5.371
_cell_length_b 5.371
_cell_length_c 11.858
_cell_angle_alpha 90.00
_cell_angle_beta 90.00
_cell_angle_gamma 90.00
loop_
_symmetry_equiv_pos_as_xyz
'x,y,z'
loop_
_atom_site_label
_atom_site_fract_x
_atom_site_fract_y
_atom_site_fract_z
Dy1 0.000 0.000 0.000
Ho1 0.500 0.500 0.267
Ho2 0.500 0.500 0.733
Er1 0.000 0.000 0.500
Bi1 0.000 0.000 0.246
Bi2 0.000 0.000 0.754
Bi3 0.000 0.500 0.500
Bi4 0.500 0.000 0.500
Bi5 0.500 0.500 0.000



# DyHo2Er3Bi6 | Alexandria | PBE-GGA | optimized geometry
# - Final energy: -5.06 eV/atom
# - SG: No. 12
data_DyHo2Er3Bi6
_symmetry_space_group_name_H-M 'P 1'
_symmetry_Int_Tables_number 1
_cell_length_a 9.953
_cell_length_b 9.953
_cell_length_c 8.906
_cell_angle_alpha 102.85
_cell_angle_beta 102.85
_cell_angle_gamma 25.84
loop_
_symmetry_equiv_pos_as_xyz
'x,y,z'
loop_
_atom_site_label
_atom_site_fract_x
_atom_site_fract_y
_atom_site_fract_z
Dy1 0.000 0.000 0.000
Ho1 0.333 0.333 0.667
Ho2 0.667 0.667 0.333
Er1 0.000 0.000 0.500
Er2 0.334 0.334 0.167
Er3 0.666 0.666 0.833
Bi1 0.166 0.166 0.584
Bi2 0.167 0.167 0.083
Bi3 0.500 0.500 0.251
Bi4 0.500 0.500 0.749
Bi5 0.833 0.833 0.917
Bi6 0.834 0.834 0.416



# Dy2HoErBi5 | Alexandria | PBE-GGA | optimized geometry
# - Final energy: -4.16 eV/atom
# - SG: No. 123
data_Dy2HoErBi5
_symmetry_space_group_name_H-M 'P 1'
_symmetry_Int_Tables_number 1
_cell_length_a 5.394
_cell_length_b 5.394
_cell_length_c 11.809
_cell_angle_alpha 90.00
_cell_angle_beta 90.00
_cell_angle_gamma 90.00
loop_
_symmetry_equiv_pos_as_xyz
'x,y,z'
loop_
_atom_site_label
_atom_site_fract_x
_atom_site_fract_y
_atom_site_fract_z
Dy1 0.000 0.000 0.231
Dy2 0.000 0.000 0.769
Ho1 0.500 0.500 0.000
Er1 0.500 0.500 0.500
Bi1 0.000 0.000 0.500
Bi2 0.000 0.500 0.000
Bi3 0.500 0.000 0.000
Bi4 0.500 0.500 0.255
Bi5 0.500 0.500 0.745



no.,energy relative to the elements (meV/atom)
1,-504
2,-850
3,359
4,-853
5,-545
6,40
7,-828
8,37